(1)
A geometry-optimized TaAlS structure, computed with PBE.

Cell: 10.0305 10.0305 10.0305 Å, 22.13 22.13 22.13°
With the nearest neighbours (Å) after each atom.
Atoms (fractional coordinates):
Ta 0.0608 0.0608 0.0608  3 S 2.60, 3 Al 2.75
Ta 0.9392 0.9392 0.9392  3 S 2.60, 3 Al 2.75
Al 0.3392 0.3392 0.3392  3 Al 2.25
Al 0.6608 0.6608 0.6608  3 Al 2.25
S 0.2264 0.2264 0.2264  3 Ta 2.60
S 0.7736 0.7736 0.7736  3 Ta 2.60

## Properties
Space-group type: No. 166
Raw formation energy in eV/f.u.: -0.255

(2)
A geometry-optimized TcIr2F structure, computed with PBE.

Cell: 6.0356 6.0356 6.0356 Å, 90.00 90.00 90.00°
With the nearest neighbours (Å) after each atom.
Atoms (fractional coordinates):
Tc 0.0000 0.0000 0.0000  8 Ir 2.61
Tc 0.0000 0.5000 0.5000  8 Ir 2.61
Tc 0.5000 0.0000 0.5000  8 Ir 2.61
Tc 0.5000 0.5000 0.0000  8 Ir 2.61
Ir 0.2500 0.2500 0.2500  4 F 2.61, 4 Tc 2.61
Ir 0.2500 0.2500 0.7500  4 F 2.61, 4 Tc 2.61
Ir 0.2500 0.7500 0.2500  4 F 2.61, 4 Tc 2.61
Ir 0.2500 0.7500 0.7500  4 F 2.61, 4 Tc 2.61
Ir 0.7500 0.2500 0.2500  4 F 2.61, 4 Tc 2.61
Ir 0.7500 0.2500 0.7500  4 F 2.61, 4 Tc 2.61
Ir 0.7500 0.7500 0.2500  4 F 2.61, 4 Tc 2.61
Ir 0.7500 0.7500 0.7500  4 Tc 2.61, 4 F 2.61
F 0.0000 0.0000 0.5000  8 Ir 2.61
F 0.0000 0.5000 0.0000  8 Ir 2.61
F 0.5000 0.0000 0.0000  8 Ir 2.61
F 0.5000 0.5000 0.5000  8 Ir 2.61

## Properties
Space-group type: No. 225
Energy above the most stable polymorph in this dataset in eV per atom: 0.000
Raw formation energy in eV/f.u.: 1.019

(3)
A geometry-optimized K7Au4O structure, computed with PBE.

Cell: 8.9499 8.9499 11.5393 Å, 121.59 121.59 34.95°
With the nearest neighbours (Å) after each atom.
Atoms (fractional coordinates):
K 0.0000 0.0000 0.0000  2 O 2.69
K 0.1378 0.1378 0.5475  5 Au 3.33-3.53
K 0.3344 0.3344 0.9628  1 O 2.62
K 0.4305 0.4305 0.7394  1 O 2.56
K 0.5695 0.5695 0.2606  1 O 2.56
K 0.6656 0.6656 0.0372  1 O 2.62
K 0.8622 0.8622 0.4525  5 Au 3.33-3.53
Au 0.0777 0.0777 0.7780  8 K 3.33-3.67
Au 0.2193 0.2193 0.3266  6 K 3.38-3.57
Au 0.7807 0.7807 0.6734  6 K 3.38-3.57
Au 0.9223 0.9223 0.2220  8 K 3.33-3.67
O 0.5000 0.5000 0.0000  6 K 2.56-2.69

## Properties
Space-group type: No. 12
Energy above the most stable polymorph in this dataset in eV per atom: 0.000
Raw formation energy in eV/f.u.: -5.358

(4)
A geometry-optimized Pu2AuBr structure, computed with PBE.

Cell: 3.8427 3.8427 25.8594 Å, 90.00 90.00 120.00°
With the nearest neighbours (Å) after each atom.
Atoms (fractional coordinates):
Pu 0.0000 0.0000 0.0000  3 Au 2.99, 3 Br 3.18
Pu 0.0000 0.0000 0.1779  3 Au 2.99, 3 Br 3.21
Pu 0.3333 0.6667 0.6667  3 Au 2.99, 3 Br 3.18
Pu 0.3333 0.6667 0.8446  3 Au 2.99, 3 Br 3.21
Pu 0.6667 0.3333 0.3333  3 Au 2.99, 3 Br 3.18
Pu 0.6667 0.3333 0.5112  3 Au 2.99, 3 Br 3.21
Au 0.0000 0.0000 0.5889  6 Pu 2.99
Au 0.3333 0.6667 0.2555  6 Pu 2.99
Au 0.6667 0.3333 0.9222  6 Pu 2.99
Br 0.0000 0.0000 0.7548  6 Pu 3.18-3.21
Br 0.3333 0.6667 0.4214  6 Pu 3.18-3.21
Br 0.6667 0.3333 0.0881  6 Pu 3.18-3.21

## Properties
Space-group type: No. 160
Energy above the most stable polymorph in this dataset in eV per atom: 0.052
Raw formation energy in eV/f.u.: -2.104

(5)
A geometry-optimized HRh3Au structure, computed with PBE.

Cell: 3.9765 3.9765 3.9765 Å, 90.00 90.00 90.00°
With the nearest neighbours (Å) after each atom.
Atoms (fractional coordinates):
H 0.0000 0.0000 0.0000  6 Rh 1.99
Rh 0.0000 0.0000 0.5000  2 H 1.99
Rh 0.0000 0.5000 0.0000  2 H 1.99
Rh 0.5000 0.0000 0.0000  2 H 1.99
Au 0.5000 0.5000 0.5000  12 Rh 2.81

## Properties
Space-group type: No. 221
Energy above the most stable polymorph in this dataset in eV per atom: 0.000

(6)
A geometry-optimized La2PuCrN4 structure, computed with PBE.

Cell: 6.1588 6.1588 12.5584 Å, 90.00 90.00 147.44°
With the nearest neighbours (Å) after each atom.
Atoms (fractional coordinates):
La 0.1343 0.8657 0.5418  4 N 2.40-2.67
La 0.1343 0.8657 0.9582  4 N 2.40-2.67
La 0.8657 0.1343 0.0418  4 N 2.40-2.67
La 0.8657 0.1343 0.4582  4 N 2.40-2.67
Pu 0.3914 0.6086 0.7500  4 N 2.56
Pu 0.6086 0.3914 0.2500  4 N 2.56
Cr 0.3307 0.6693 0.2500  4 N 1.85-1.97
Cr 0.6693 0.3307 0.7500  4 N 1.85-1.97
N 0.0890 0.9110 0.7500  2 Cr 1.97
N 0.2225 0.7775 0.1441  1 Cr 1.85
N 0.2225 0.7775 0.3559  1 Cr 1.85
N 0.5000 0.5000 0.0000  4 La 2.40
N 0.5000 0.5000 0.5000  4 La 2.40
N 0.7775 0.2225 0.6441  1 Cr 1.85
N 0.7775 0.2225 0.8559  1 Cr 1.85
N 0.9110 0.0890 0.2500  2 Cr 1.97

## Properties
Space-group type: No. 63
Raw formation energy in eV/f.u.: -7.411

(7)
A geometry-optimized NaCo2Cu2 structure, computed with PBE.

Cell: 7.4977 7.4977 2.4464 Å, 90.00 90.00 90.00°
With the nearest neighbours (Å) after each atom.
Atoms (fractional coordinates):
Na 0.0000 0.0000 0.0000  2 Na 2.45
Na 0.5000 0.5000 0.0000  2 Na 2.45
Co 0.1095 0.3905 0.0000  3 Co 2.32-2.45, 6 Cu 2.52-2.57
Co 0.3905 0.8905 0.0000  3 Co 2.32-2.45, 6 Cu 2.52-2.57
Co 0.6095 0.1095 0.0000  3 Co 2.32-2.45, 6 Cu 2.52-2.57
Co 0.8905 0.6095 0.0000  3 Co 2.32-2.45, 6 Cu 2.52-2.57
Cu 0.1825 0.6825 0.5000  2 Cu 2.45, 6 Co 2.52-2.57
Cu 0.3175 0.1825 0.5000  2 Cu 2.45, 6 Co 2.52-2.57
Cu 0.6825 0.8175 0.5000  2 Cu 2.45, 6 Co 2.52-2.57
Cu 0.8175 0.3175 0.5000  2 Cu 2.45, 6 Co 2.52-2.57

## Properties
Energy of formation from the pure elements in meV per atom: 303
Space-group type: No. 127
Energy above the most stable polymorph in this dataset in eV per atom: 0.000

(8)
A geometry-optimized Li2CaCu2 structure, computed with PBE.

Cell: 7.3593 7.3593 3.4164 Å, 90.00 90.00 90.00°
With the nearest neighbours (Å) after each atom.
Atoms (fractional coordinates):
Li 0.1528 0.3472 0.0000  6 Cu 2.65-2.91
Li 0.3472 0.8472 0.0000  6 Cu 2.65-2.91
Li 0.6528 0.1528 0.0000  6 Cu 2.65-2.91
Li 0.8472 0.6528 0.0000  6 Cu 2.65-2.91
Ca 0.0000 0.0000 0.5000  4 Cu 2.93, 8 Li 3.27
Ca 0.5000 0.5000 0.5000  4 Cu 2.93, 8 Li 3.27
Cu 0.1211 0.6211 0.5000  1 Cu 2.52, 4 Li 2.65
Cu 0.3789 0.1211 0.5000  1 Cu 2.52, 4 Li 2.65
Cu 0.6211 0.8789 0.5000  1 Cu 2.52, 4 Li 2.65
Cu 0.8789 0.3789 0.5000  1 Cu 2.52, 4 Li 2.65

## Properties
Energy of formation from the pure elements in meV per atom: 75
Space-group type: No. 127
Energy above the most stable polymorph in this dataset in eV per atom: 0.120

(9)
A geometry-optimized ThTlHg structure, computed with PBE.

Cell: 11.9445 3.4209 8.7394 Å, 90.00 97.90 90.00°
With the nearest neighbours (Å) after each atom.
Atoms (fractional coordinates):
Th 0.1333 0.0000 0.4089  2 Hg 3.32, 5 Tl 3.42-3.49, 4 Th 3.42-3.47
Th 0.3667 0.5000 0.5911  2 Hg 3.32, 5 Tl 3.42-3.49, 4 Th 3.42-3.47
Th 0.6333 0.5000 0.4089  2 Hg 3.32, 5 Tl 3.42-3.49, 4 Th 3.42-3.47
Th 0.8667 0.0000 0.5911  2 Hg 3.32, 5 Tl 3.42-3.49, 4 Th 3.42-3.47
Tl 0.1119 0.5000 0.7422  1 Hg 2.96
Tl 0.3881 0.0000 0.2578  1 Hg 2.96
Tl 0.6119 0.0000 0.7422  1 Hg 2.96
Tl 0.8881 0.5000 0.2578  1 Hg 2.96
Hg 0.1379 0.5000 0.0845  1 Tl 2.96, 2 Th 3.32
Hg 0.3621 0.0000 0.9155  1 Tl 2.96, 2 Th 3.32
Hg 0.6379 0.0000 0.0845  1 Tl 2.96, 2 Th 3.32
Hg 0.8621 0.5000 0.9155  1 Tl 2.96, 2 Th 3.32

## Properties
Energy of formation from the pure elements in meV per atom: 5
Space-group type: No. 12
Energy above the most stable polymorph in this dataset in eV per atom: 0.191

(10)
A geometry-optimized CaNiAgSn structure, computed with PBE.

Cell: 6.7979 6.7979 6.7979 Å, 90.00 90.00 90.00°
With the nearest neighbours (Å) after each atom.
Atoms (fractional coordinates):
Ca 0.0000 0.0000 0.0000  4 Ni 2.94, 4 Ag 2.94
Ca 0.0000 0.5000 0.5000  4 Ni 2.94, 4 Ag 2.94
Ca 0.5000 0.0000 0.5000  4 Ni 2.94, 4 Ag 2.94
Ca 0.5000 0.5000 0.0000  4 Ni 2.94, 4 Ag 2.94
Ni 0.2500 0.2500 0.2500  4 Sn 2.94, 4 Ca 2.94
Ni 0.2500 0.7500 0.7500  4 Sn 2.94, 4 Ca 2.94
Ni 0.7500 0.2500 0.7500  4 Sn 2.94, 4 Ca 2.94
Ni 0.7500 0.7500 0.2500  4 Sn 2.94, 4 Ca 2.94
Ag 0.2500 0.2500 0.7500  4 Sn 2.94, 4 Ca 2.94
Ag 0.2500 0.7500 0.2500  4 Sn 2.94, 4 Ca 2.94
Ag 0.7500 0.2500 0.2500  4 Sn 2.94, 4 Ca 2.94
Ag 0.7500 0.7500 0.7500  4 Sn 2.94, 4 Ca 2.94
Sn 0.0000 0.0000 0.5000  4 Ag 2.94, 4 Ni 2.94
Sn 0.0000 0.5000 0.0000  4 Ag 2.94, 4 Ni 2.94
Sn 0.5000 0.0000 0.0000  4 Ag 2.94, 4 Ni 2.94
Sn 0.5000 0.5000 0.5000  4 Ag 2.94, 4 Ni 2.94

## Properties
Energy of formation from the pure elements in meV per atom: -213
Space-group type: No. 216

(11)
A geometry-optimized Rb2InSnS5 structure, computed with PBE.

Cell: 10.7915 10.7915 14.0536 Å, 90.00 90.00 160.10°
With the nearest neighbours (Å) after each atom.
Atoms (fractional coordinates):
Rb 0.1206 0.8794 0.5000  6 S 3.35-3.42, 2 Rb 3.73
Rb 0.1304 0.8696 0.8879  7 S 3.41-3.77, 2 Rb 3.73
Rb 0.8696 0.1304 0.3879  7 S 3.41-3.77, 2 Rb 3.73
Rb 0.8794 0.1206 0.0000  6 S 3.35-3.42, 2 Rb 3.73
In 0.2241 0.7759 0.2360  5 S 2.47-2.76
In 0.7759 0.2241 0.7360  5 S 2.47-2.76
Sn 0.4348 0.5652 0.6474  4 S 2.37-2.45
Sn 0.5652 0.4348 0.1474  4 S 2.37-2.45
S 0.0377 0.9623 0.2525  2 Sn 2.45
S 0.2893 0.7107 0.8567  2 In 2.54
S 0.3227 0.6773 0.6096  1 Sn 2.44
S 0.3366 0.6634 0.1907  1 In 2.47
S 0.4858 0.5142 0.4974  1 Sn 2.37
S 0.5142 0.4858 0.9974  1 Sn 2.37
S 0.6634 0.3366 0.6907  1 In 2.47
S 0.6773 0.3227 0.1096  1 Sn 2.44
S 0.7107 0.2893 0.3567  2 In 2.54
S 0.9623 0.0377 0.7525  2 Sn 2.45

## Properties
Space-group type: No. 36
Raw formation energy in eV/f.u.: -5.756

(12)
A geometry-optimized Sn4IrAu structure, computed with PBE.

Cell: 4.6476 4.6476 6.6440 Å, 90.00 90.00 90.00°
With the nearest neighbours (Å) after each atom.
Atoms (fractional coordinates):
Sn 0.0000 0.5000 0.2380  2 Ir 2.81, 2 Au 2.90
Sn 0.0000 0.5000 0.7620  2 Ir 2.81, 2 Au 2.90
Sn 0.5000 0.0000 0.2380  2 Ir 2.81, 2 Au 2.90
Sn 0.5000 0.0000 0.7620  2 Ir 2.81, 2 Au 2.90
Ir 0.0000 0.0000 0.0000  8 Sn 2.81
Au 0.5000 0.5000 0.5000  8 Sn 2.90

## Properties
Energy of formation from the pure elements in meV per atom: -210
Space-group type: No. 123
Energy above the most stable polymorph in this dataset in eV per atom: 0.000